Material: Mo2AsSF
Method: DFT, GGA+U
State: optimized geometry

Calculated density ... 5.2 g cm⁻³
Total energy ... -4.709 eV/atom
Fermi-level density of states ... 1.7 states/eV/cell

a = 4.9912 Å, b = 4.9912 Å, c = 4.0364 Å
α = 90.00°, β = 90.00°, γ = 90.00°
Last column: nearest neighbours and their distance in Å.
Fractional positions:
Mo: 0.0000 0.5000 0.0000  2 S 2.50
Mo: 0.5000 0.0000 0.0000  2 S 2.50
As: 0.0000 0.0000 0.5000  8 Mo 3.21, 4 F 3.53
S: 0.5000 0.5000 0.0000  2 F 2.02
F: 0.5000 0.5000 0.5000  2 S 2.02